A geometry-optimized Rb2ZrInBr6 structure. Source: the Open Quantum Materials Database, functional PBE.

Cell lengths 8.2111, 8.2111, 8.2111 Å; angles 60.00, 60.00, 60.00 degrees
Last column: nearest neighbours and their distance in Å.
Atoms (fractional coordinates):
Rb 0.2500 0.2500 0.2500  12 Br 4.11
Rb 0.7500 0.7500 0.7500  12 Br 4.11
Zr 0.0000 0.0000 0.0000  6 Br 2.70
In 0.5000 0.5000 0.5000  6 Br 3.11
Br 0.2326 0.2326 0.7674  1 Zr 2.70
Br 0.2326 0.7674 0.2326  1 Zr 2.70
Br 0.2326 0.7674 0.7674  1 Zr 2.70
Br 0.7674 0.2326 0.2326  1 Zr 2.70
Br 0.7674 0.2326 0.7674  1 Zr 2.70
Br 0.7674 0.7674 0.2326  1 Zr 2.70

Results
Uncorrected energy: -3.634 eV per atom